## HoFeB3 (PBE)

Data for a relaxed HoFeB3 crystal.

Geometry as extended XYZ:
```
10
Lattice="-1.797 0.343 -2.517 -3.136 -2.967 1.834 -2.459 5.321 4.403" Properties=species:S:1:pos:R:3 pbc="T T T"
Fe -3.860 -1.056 0.688
B -3.791 2.879 1.174
B -3.608 1.557 2.787
B -3.601 -0.182 2.545
B -2.446 2.406 0.150
B -4.946 0.291 3.570
B -3.784 1.140 0.933
Fe -3.531 3.753 3.032
Ho -1.359 0.199 0.997
Ho -6.033 2.498 2.723
```

Output
DOS at the Fermi energy: 1.604 states/eV per cell
spin magnetization: 0.00 μB per formula unit
formation energy from the elements: -0.17 eV per formula unit